(1)
First-principles (PBE) data for an optimized crystal structure of SbAuS3, as listed in OQMD via LeMat-Bulk.

a b c (Å): 6.478 6.478 7.740
angles (deg): 101.25 101.25 121.01
Sites, in units of the cell vectors:
Sb1 0.154 0.846 0.000
Sb2 0.846 0.154 0.000
Au1 0.206 0.794 0.500
Au2 0.794 0.206 0.500
S1 0.078 0.419 0.806
S2 0.240 0.240 0.218
S3 0.419 0.078 0.806
S4 0.581 0.922 0.194
S5 0.760 0.760 0.782
S6 0.922 0.581 0.194



(2)
First-principles (PBE) data for an optimized crystal structure of SbAu3Se2S2, as listed in OQMD via LeMat-Bulk.

a b c (Å): 7.234 7.234 5.946
angles (deg): 113.95 113.95 48.34
Sites, in units of the cell vectors:
Sb1 0.000 0.000 0.000
Au1 0.265 0.235 0.772
Au2 0.538 0.462 0.500
Au3 0.765 0.735 0.228
Se1 0.139 0.605 0.618
Se2 0.395 0.861 0.382
S1 0.632 0.114 0.127
S2 0.886 0.368 0.873



(3)
First-principles (PBE) data for an optimized crystal structure of ScAuS2, as listed in OQMD via LeMat-Bulk.

Summary:
The total magnetization comes out at 0.0 Bohr magnetons per cell.

a b c (Å): 7.664 7.664 7.664
angles (deg): 28.77 28.77 28.77
Sites, in units of the cell vectors:
Sc1 0.000 0.000 0.000
Au1 0.500 0.500 0.500
S1 0.395 0.395 0.395
S2 0.605 0.605 0.605



Short version: raw total energy = -3.9812 -3.6012 -5.6666 eV/atom, in the order given.